1.
Material: AcLaPmTl
Method: DFT, PBE-GGA
State: optimized geometry

- Total moment: 0.0 Bohr magnetons per cell
- Formation energy from the elements: -0.1 eV per formula unit
- Energy relative to the lowest polymorph listed for this composition: 0.017 eV/atom
- Density of states at the Fermi level: 1.90 states/eV per atom
- Electronic total energy: -4.07 eV per atom

```
AcLaPmTl
1.0
8.155 0.000 0.000
0.000 8.155 0.000
0.000 0.000 8.155
Ac La Pm Tl
4 4 4 4
Direct
0.000 0.000 0.000
0.000 0.500 0.500
0.500 0.000 0.500
0.500 0.500 0.000
0.250 0.250 0.750
0.250 0.750 0.250
0.750 0.250 0.250
0.750 0.750 0.750
0.250 0.250 0.250
0.250 0.750 0.750
0.750 0.250 0.750
0.750 0.750 0.250
0.000 0.000 0.500
0.000 0.500 0.000
0.500 0.000 0.000
0.500 0.500 0.500
```

=====

2.
Material: AcLa6PmTm2
Method: DFT, PBE-GGA
State: optimized geometry

- Total moment: 0.0 Bohr magnetons per cell
- Formation energy from the elements: 1.0 eV per formula unit
- Density of states at the Fermi level: 1.50 states/eV per atom
- Electronic total energy: -4.63 eV per atom

```
AcLa6PmTm2
1.0
4.748 -7.752 0.000
4.748 7.752 0.000
-1.302 0.000 9.909
Ac La Pm Tm
2 12 2 4
Direct
0.029 0.971 0.750
0.971 0.029 0.250
0.007 0.551 0.684
0.108 0.754 0.053
0.246 0.892 0.447
0.296 0.511 0.878
0.449 0.993 0.816
0.489 0.704 0.622
0.511 0.296 0.378
0.551 0.007 0.184
0.704 0.489 0.122
0.754 0.108 0.553
0.892 0.246 0.947
0.993 0.449 0.316
0.409 0.591 0.250
0.591 0.409 0.750
0.202 0.302 0.548
0.302 0.202 0.048
0.698 0.798 0.952
0.798 0.698 0.452
```

=====

3.
Material: AcLa3PmTm
Method: DFT, PBE-GGA
State: optimized geometry

- Total moment: 0.0 Bohr magnetons per cell
- Formation energy from the elements: 0.2 eV per formula unit
- Density of states at the Fermi level: 1.89 states/eV per atom
- Electronic total energy: -4.65 eV per atom

```
AcLa3PmTm
1.0
8.259 0.000 0.000
0.000 5.307 0.000
-3.419 0.000 10.043
Ac La Pm Tm
2 6 2 2
Direct
0.173 0.250 0.295
0.827 0.750 0.705
0.172 0.750 0.041
0.173 0.750 0.545
0.174 0.250 0.792
0.826 0.750 0.208
0.827 0.250 0.455
0.828 0.250 0.959
0.498 0.750 0.875
0.502 0.250 0.125
0.499 0.250 0.625
0.501 0.750 0.375
```

=====

4.
Material: AcLaPm4Tm2
Method: DFT, PBE-GGA
State: optimized geometry

- Total moment: 0.0 Bohr magnetons per cell
- Formation energy from the elements: 0.3 eV per formula unit
- Density of states at the Fermi level: 1.59 states/eV per atom
- Electronic total energy: -4.59 eV per atom

```
AcLaPm4Tm2
1.0
7.335 0.000 0.000
0.000 7.355 0.000
-0.010 0.000 10.358
Ac La Pm Tm
2 2 8 4
Direct
0.000 0.000 0.000
0.000 0.500 0.500
0.000 0.000 0.500
0.500 0.000 0.500
0.257 0.254 0.755
0.257 0.255 0.245
0.257 0.745 0.245
0.257 0.746 0.755
0.743 0.254 0.245
0.743 0.255 0.755
0.743 0.745 0.755
0.743 0.746 0.245
0.000 0.500 0.000
0.500 0.000 0.000
0.500 0.500 0.000
0.500 0.500 0.500
```

=====

5.
Material: AcLaPm2Tm
Method: DFT, PBE-GGA
State: optimized geometry

- Total moment: 0.0 Bohr magnetons per cell
- Formation energy from the elements: 1.7 eV per formula unit
- Density of states at the Fermi level: 1.74 states/eV per atom
- Electronic total energy: -4.26 eV per atom

```
AcLaPm2Tm
1.0
4.267 -6.048 0.000
4.267 6.048 0.000
0.000 0.000 7.353
Ac La Pm Tm
2 2 4 2
Direct
0.243 0.757 0.750
0.757 0.243 0.250
0.488 0.512 0.250
0.512 0.488 0.750
0.187 0.187 0.000
0.187 0.187 0.500
0.813 0.813 0.000
0.813 0.813 0.500
0.209 0.791 0.250
0.791 0.209 0.750
```

=====

6.
Material: AcLaPmTm
Method: DFT, PBE-GGA
State: optimized geometry

- Total moment: 0.0 Bohr magnetons per cell
- Formation energy from the elements: 0.4 eV per formula unit
- Energy relative to the lowest polymorph listed for this composition: 0.039 eV/atom
- Density of states at the Fermi level: 1.91 states/eV per atom
- Electronic total energy: -4.46 eV per atom

```
AcLaPmTm
1.0
8.376 0.000 0.000
0.000 8.376 0.000
0.000 0.000 8.376
Ac La Pm Tm
4 4 4 4
Direct
0.000 0.000 0.000
0.000 0.500 0.500
0.500 0.000 0.500
0.500 0.500 0.000
0.000 0.000 0.500
0.000 0.500 0.000
0.500 0.000 0.000
0.500 0.500 0.500
0.250 0.250 0.250
0.250 0.750 0.750
0.750 0.250 0.750
0.750 0.750 0.250
0.250 0.250 0.750
0.250 0.750 0.250
0.750 0.250 0.250
0.750 0.750 0.750
```

=====

7.
Material: AcLa5Pm2Tm
Method: DFT, PBE-GGA
State: optimized geometry

- Total moment: 0.0 Bohr magnetons per cell
- Formation energy from the elements: 2.3 eV per formula unit
- Density of states at the Fermi level: 1.78 states/eV per atom
- Electronic total energy: -4.49 eV per atom

```
AcLa5Pm2Tm
1.0
-4.663 4.663 7.667
4.663 -4.663 7.667
4.663 4.663 -7.667
Ac La Pm Tm
2 10 4 2
Direct
0.250 0.250 0.000
0.750 0.750 0.000
0.000 0.000 0.000
0.070 0.570 0.906
0.165 0.070 0.500
0.335 0.835 0.906
0.430 0.335 0.500
0.500 0.500 0.000
0.570 0.665 0.500
0.665 0.165 0.094
0.835 0.930 0.500
0.930 0.430 0.094
0.113 0.387 0.500
0.387 0.887 0.273
0.613 0.113 0.727
0.887 0.613 0.500
0.250 0.750 0.500
0.750 0.250 0.500
```

=====

8.
Material: AcLa2Pm5Tm
Method: DFT, PBE-GGA
State: optimized geometry

- Total moment: 0.0 Bohr magnetons per cell
- Formation energy from the elements: 1.3 eV per formula unit
- Density of states at the Fermi level: 1.73 states/eV per atom
- Electronic total energy: -4.55 eV per atom

```
AcLa2Pm5Tm
1.0
2.778 -11.229 0.000
2.778 11.229 0.000
0.000 0.000 10.530
Ac La Pm Tm
2 4 10 2
Direct
0.100 0.900 0.500
0.900 0.100 0.000
0.381 0.619 0.738
0.382 0.618 0.262
0.618 0.382 0.762
0.619 0.381 0.238
0.000 0.000 0.250
0.000 0.000 0.750
0.120 0.880 0.000
0.222 0.778 0.695
0.223 0.777 0.307
0.497 0.503 0.500
0.503 0.497 0.000
0.777 0.223 0.807
0.778 0.222 0.195
0.880 0.120 0.500
0.280 0.720 0.001
0.720 0.280 0.501
```

=====

9.
Material: AcLaPmTm
Method: DFT, PBE-GGA
State: optimized geometry

- Total moment: 0.0 Bohr magnetons per cell
- Formation energy from the elements: 0.3 eV per formula unit
- Energy relative to the lowest polymorph listed for this composition: 0.000 eV/atom
- Density of states at the Fermi level: 1.37 states/eV per atom
- Electronic total energy: -4.50 eV per atom

```
AcLaPmTm
1.0
3.753 0.000 0.000
-1.876 3.250 0.000
0.000 0.000 12.004
Ac La Pm Tm
1 1 1 1
Direct
0.000 0.000 0.000
0.667 0.333 0.510
0.333 0.667 0.260
0.333 0.667 0.750
```

=====

10.
Material: AcLaPm6Tm2
Method: DFT, PBE-GGA
State: optimized geometry

- Total moment: 0.0 Bohr magnetons per cell
- Formation energy from the elements: 1.2 eV per formula unit
- Density of states at the Fermi level: 1.40 states/eV per atom
- Electronic total energy: -4.53 eV per atom

```
AcLaPm6Tm2
1.0
4.704 -7.700 0.000
4.704 7.700 0.000
-1.056 0.000 9.776
Ac La Pm Tm
2 2 12 4
Direct
0.034 0.966 0.750
0.966 0.034 0.250
0.408 0.592 0.250
0.592 0.408 0.750
0.017 0.554 0.676
0.112 0.752 0.056
0.248 0.888 0.444
0.294 0.513 0.880
0.446 0.983 0.824
0.487 0.706 0.620
0.513 0.294 0.380
0.554 0.017 0.176
0.706 0.487 0.120
0.752 0.112 0.556
0.888 0.248 0.944
0.983 0.446 0.324
0.200 0.307 0.548
0.307 0.200 0.048
0.693 0.800 0.952
0.800 0.693 0.452
```

=====

11.
Material: AcLa2Pm2Tm2
Method: DFT, PBE-GGA
State: optimized geometry

- Total moment: 0.0 Bohr magnetons per cell
- Formation energy from the elements: 0.3 eV per formula unit
- Density of states at the Fermi level: 1.71 states/eV per atom
- Electronic total energy: -4.59 eV per atom

```
AcLa2Pm2Tm2
1.0
11.618 0.000 0.000
0.000 5.200 0.000
-1.186 0.000 8.198
Ac La Pm Tm
2 4 4 4
Direct
0.000 0.000 0.000
0.500 0.500 0.000
0.214 0.500 0.149
0.286 0.000 0.851
0.714 0.000 0.149
0.786 0.500 0.851
0.141 0.000 0.431
0.359 0.500 0.569
0.641 0.500 0.431
0.859 0.000 0.569
0.074 0.500 0.703
0.426 0.000 0.297
0.574 0.000 0.703
0.926 0.500 0.297
```

=====

12.
Material: AcLa2Pm2Tm
Method: DFT, PBE-GGA
State: optimized geometry

- Total moment: 0.0 Bohr magnetons per cell
- Formation energy from the elements: 0.3 eV per formula unit
- Density of states at the Fermi level: 1.51 states/eV per atom
- Electronic total energy: -4.60 eV per atom

```
AcLa2Pm2Tm
1.0
7.310 0.000 0.000
0.000 5.839 0.000
0.000 0.000 10.149
Ac La Pm Tm
2 4 4 2
Direct
0.000 0.000 0.000
0.500 0.000 0.000
0.000 0.500 0.500
0.250 0.000 0.335
0.500 0.500 0.500
0.750 0.000 0.665
0.250 0.000 0.665
0.250 0.500 0.170
0.750 0.000 0.335
0.750 0.500 0.830
0.250 0.500 0.833
0.750 0.500 0.167
```

=====

13.
Material: AcLaPm2Tm5
Method: DFT, PBE-GGA
State: optimized geometry

- Total moment: 0.0 Bohr magnetons per cell
- Formation energy from the elements: 2.2 eV per formula unit
- Density of states at the Fermi level: 1.04 states/eV per atom
- Electronic total energy: -4.30 eV per atom

```
AcLaPm2Tm5
1.0
-4.390 4.390 7.861
4.390 -4.390 7.861
4.390 4.390 -7.861
Ac La Pm Tm
2 2 4 10
Direct
0.250 0.250 0.000
0.750 0.750 0.000
0.250 0.750 0.500
0.750 0.250 0.500
0.117 0.617 0.734
0.383 0.117 0.500
0.617 0.883 0.500
0.883 0.383 0.266
0.000 0.000 0.000
0.075 0.164 0.500
0.164 0.664 0.089
0.336 0.425 0.500
0.425 0.925 0.089
0.500 0.500 0.000
0.575 0.075 0.911
0.664 0.575 0.500
0.836 0.336 0.911
0.925 0.836 0.500
```

=====

14.
Material: AcLa5PmTm2
Method: DFT, PBE-GGA
State: optimized geometry

- Total moment: 0.0 Bohr magnetons per cell
- Formation energy from the elements: 1.3 eV per formula unit
- Density of states at the Fermi level: 1.42 states/eV per atom
- Electronic total energy: -4.57 eV per atom

```
AcLa5PmTm2
1.0
2.828 -12.253 0.000
2.828 12.253 0.000
0.000 0.000 9.630
Ac La Pm Tm
2 10 2 4
Direct
0.104 0.896 0.500
0.896 0.104 0.000
0.026 0.974 0.832
0.106 0.894 0.109
0.186 0.814 0.807
0.240 0.760 0.423
0.493 0.507 0.617
0.507 0.493 0.117
0.760 0.240 0.923
0.814 0.186 0.307
0.894 0.106 0.609
0.974 0.026 0.332
0.274 0.726 0.106
0.726 0.274 0.606
0.326 0.674 0.743
0.388 0.612 0.372
0.612 0.388 0.872
0.674 0.326 0.243
```

=====

15.
Material: AcLa2Pm4Tm
Method: DFT, PBE-GGA
State: optimized geometry

- Total moment: 0.0 Bohr magnetons per cell
- Formation energy from the elements: 2.9 eV per formula unit
- Density of states at the Fermi level: 2.27 states/eV per atom
- Electronic total energy: -4.31 eV per atom

```
AcLa2Pm4Tm
1.0
6.990 -6.832 0.000
6.990 6.832 0.000
-3.529 0.000 6.076
Ac La Pm Tm
2 4 8 2
Direct
0.000 0.500 0.000
0.500 0.000 0.500
0.000 0.000 0.000
0.000 0.000 0.500
0.000 0.500 0.500
0.500 0.000 0.000
0.249 0.266 0.509
0.259 0.741 0.514
0.259 0.741 0.986
0.266 0.249 0.009
0.734 0.751 0.991
0.741 0.259 0.014
0.741 0.259 0.486
0.751 0.734 0.491
0.500 0.500 0.000
0.500 0.500 0.500
```

=====

16.
Material: AcLa2Pm6Tm
Method: DFT, PBE-GGA
State: optimized geometry

- Total moment: 0.0 Bohr magnetons per cell
- Formation energy from the elements: 1.2 eV per formula unit
- Density of states at the Fermi level: 1.50 states/eV per atom
- Electronic total energy: -4.58 eV per atom

```
AcLa2Pm6Tm
1.0
4.671 -7.794 0.000
4.671 7.794 0.000
-1.164 0.000 9.848
Ac La Pm Tm
2 4 12 2
Direct
0.019 0.981 0.750
0.981 0.019 0.250
0.201 0.312 0.544
0.312 0.201 0.044
0.688 0.799 0.956
0.799 0.688 0.456
0.016 0.568 0.690
0.129 0.744 0.056
0.256 0.871 0.444
0.292 0.503 0.883
0.432 0.984 0.810
0.497 0.708 0.617
0.503 0.292 0.383
0.568 0.016 0.190
0.708 0.497 0.117
0.744 0.129 0.556
0.871 0.256 0.944
0.984 0.432 0.310
0.409 0.591 0.250
0.591 0.409 0.750
```

=====

17.
Material: AcLa4PmTm2
Method: DFT, PBE-GGA
State: optimized geometry

- Total moment: 0.0 Bohr magnetons per cell
- Formation energy from the elements: 0.3 eV per formula unit
- Density of states at the Fermi level: 1.70 states/eV per atom
- Electronic total energy: -4.66 eV per atom

```
AcLa4PmTm2
1.0
11.655 0.000 0.000
0.000 5.244 0.000
-4.770 0.000 9.379
Ac La Pm Tm
2 8 2 4
Direct
0.000 0.000 0.000
0.500 0.500 0.000
0.247 0.000 0.870
0.249 0.500 0.623
0.251 0.000 0.377
0.253 0.500 0.130
0.747 0.500 0.870
0.749 0.000 0.623
0.751 0.500 0.377
0.753 0.000 0.130
0.000 0.000 0.500
0.500 0.500 0.500
0.001 0.500 0.745
0.499 0.000 0.255
0.501 0.000 0.745
0.999 0.500 0.255
```

=====

18.
Material: AcLaPm5Tm2
Method: DFT, PBE-GGA
State: optimized geometry

- Total moment: 0.0 Bohr magnetons per cell
- Formation energy from the elements: 1.3 eV per formula unit
- Density of states at the Fermi level: 1.18 states/eV per atom
- Electronic total energy: -4.49 eV per atom

```
AcLaPm5Tm2
1.0
2.817 -11.989 0.000
2.817 11.989 0.000
0.000 0.000 9.585
Ac La Pm Tm
2 2 10 4
Direct
0.103 0.897 0.500
0.897 0.103 0.000
0.268 0.732 0.111
0.732 0.268 0.611
0.026 0.974 0.829
0.103 0.897 0.110
0.187 0.813 0.808
0.241 0.759 0.429
0.494 0.506 0.611
0.506 0.494 0.111
0.759 0.241 0.929
0.813 0.187 0.308
0.897 0.103 0.610
0.974 0.026 0.329
0.328 0.672 0.742
0.388 0.612 0.374
0.612 0.388 0.874
0.672 0.328 0.242
```

=====

19.
Material: Ac2La2Pm4Y
Method: DFT, PBE-GGA
State: optimized geometry

- Total moment: 0.0 Bohr magnetons per cell
- Formation energy from the elements: 0.2 eV per formula unit
- Density of states at the Fermi level: 1.45 states/eV per atom
- Electronic total energy: -4.81 eV per atom

```
Ac2La2Pm4Y
1.0
9.742 -1.894 0.000
9.742 1.894 0.000
-4.369 0.000 9.061
Ac La Pm Y
2 2 4 1
Direct
0.145 0.145 0.163
0.855 0.855 0.837
0.335 0.335 0.497
0.665 0.665 0.503
0.185 0.185 0.833
0.481 0.481 0.180
0.519 0.519 0.820
0.815 0.815 0.167
0.000 0.000 0.500
```